The following is a DFT calculation (GGA+U) of a relaxed structure of BMoPb2O6.

Output
Its total energy is -6.68 eV per atom.

Cell and atoms, written as extended XYZ:
```
10
Lattice="3.283 -4.907 0.000 3.283 4.907 0.000 -2.468 0.000 5.005" Properties=species:S:1:pos:R:3 pbc="T T T"
B 0.000 0.000 0.000
Mo 0.899 0.000 4.721
Pb 2.223 3.050 2.521
Pb 2.223 -3.050 2.521
O -1.297 0.000 4.163
O 0.144 0.000 1.356
O 0.730 1.769 3.938
O 0.730 -1.769 3.938
O 3.406 0.000 1.470
O 2.872 0.000 4.376
```